(1)
DFT (GGA-PBE) results for SrCrAs2 after structural relaxation. Values from VASP.

Quantum ESPRESSO input file:
```
&SYSTEM
  ibrav = 0, nat = 4, ntyp = 3
/
ATOMIC_SPECIES
As 74.92 As.upf
Cr 52.00 Cr.upf
Sr 87.62 Sr.upf
CELL_PARAMETERS angstrom
-0.4033 -1.1054 -3.5526
3.2759 0.2888 -0.4617
2.2717 -6.6541 1.8126
ATOMIC_POSITIONS crystal
As 0.0000 0.4197 0.4598
As 0.0000 0.0803 0.0402
Cr 0.5000 0.2500 0.2500
Sr 0.5000 0.7500 0.7500
```

Excess energy over the best structure of this formula in the dataset ... 253.0 meV per atom



(2)
DFT (GGA-PBE) results for SrCr2As after structural relaxation. Values from VASP.

Quantum ESPRESSO input file:
```
&SYSTEM
  ibrav = 0, nat = 4, ntyp = 3
/
ATOMIC_SPECIES
Cr 52.00 Cr.upf
As 74.92 As.upf
Sr 87.62 Sr.upf
CELL_PARAMETERS angstrom
-3.1311 2.4893 2.5003
-2.4142 -0.2788 4.0429
3.5846 2.7962 3.3519
ATOMIC_POSITIONS crystal
Cr 0.4834 0.4834 0.6299
Cr 0.0166 0.0166 0.8701
As 0.7500 0.7500 0.7500
Sr 0.2500 0.2500 0.2500
```



(3)
DFT (GGA-PBE) results for SrCrAs after structural relaxation. Values from VASP.

Quantum ESPRESSO input file:
```
&SYSTEM
  ibrav = 0, nat = 3, ntyp = 3
/
ATOMIC_SPECIES
Sr 87.62 Sr.upf
As 74.92 As.upf
Cr 52.00 Cr.upf
CELL_PARAMETERS angstrom
-0.5976 4.1798 2.4711
-4.1676 2.5249 -0.4359
-3.1419 0.2000 3.7446
ATOMIC_POSITIONS crystal
Sr 0.5000 0.5000 0.5000
As 0.7500 0.7500 0.7500
Cr 0.0000 0.0000 0.0000
```



| no. | density of states at the Fermi level (states/eV/f.u.) | energy of formation from the pure elements (eV per atom) | volume (Å³ per atom) |
| --- | --- | --- | --- |
| 1 | 2.32 | -0.288 | 22.13 |
| 2 | 4.53 | 0.308 | 20.04 |
| 3 | 0.50 | -0.190 | 27.60 |